Tl3PbC: relaxed, PBE.

Cell and atoms, written as CIF:
```
data_Tl3PbC
_cell_length_a 6.191
_cell_length_b 6.191
_cell_length_c 6.191
_cell_angle_alpha 90.00
_cell_angle_beta 90.00
_cell_angle_gamma 90.00
_symmetry_space_group_name_H-M 'P m -3 m'
_symmetry_Int_Tables_number 221
_symmetry_space_group_name_Hall '-P 4 2 3'
loop_
_atom_site_label
_atom_site_type_symbol
_atom_site_fract_x
_atom_site_fract_y
_atom_site_fract_z
Tl1 Tl 0.000 0.000 0.500
Pb1 Pb 0.000 0.000 0.000
C1 C 0.500 0.500 0.500
```

The value obtained for the raw total energy is -2.35 eV per atom.



TlPbC3: relaxed, PBE.

Cell and atoms, written as CIF:
```
data_TlPbC3
_cell_length_a 4.522
_cell_length_b 4.522
_cell_length_c 4.522
_cell_angle_alpha 90.00
_cell_angle_beta 90.00
_cell_angle_gamma 90.00
_symmetry_space_group_name_H-M 'P m -3 m'
_symmetry_Int_Tables_number 221
_symmetry_space_group_name_Hall '-P 4 2 3'
loop_
_atom_site_label
_atom_site_type_symbol
_atom_site_fract_x
_atom_site_fract_y
_atom_site_fract_z
Tl1 Tl 0.000 0.000 0.000
Pb1 Pb 0.500 0.500 0.500
C1 C 0.000 0.000 0.500
```

The value obtained for the raw total energy is -3.57 eV per atom.



Tm4TlPbC: relaxed, PBE.

Cell and atoms, written as CIF:
```
data_Tm4TlPbC
_cell_length_a 6.750
_cell_length_b 15.652
_cell_length_c 6.742
_cell_angle_alpha 90.00
_cell_angle_beta 90.00
_cell_angle_gamma 90.00
_symmetry_space_group_name_H-M 'C m c m'
_symmetry_Int_Tables_number 63
_symmetry_space_group_name_Hall '-C 2c 2'
loop_
_atom_site_label
_atom_site_type_symbol
_atom_site_fract_x
_atom_site_fract_y
_atom_site_fract_z
Tm1 Tm 0.000 0.090 0.250
Tm2 Tm 0.000 0.408 0.250
Tm3 Tm 0.250 0.250 0.000
Tl1 Tl 0.000 0.111 0.750
Pb1 Pb 0.000 0.391 0.750
C1 C 0.000 0.249 0.250
```

The value obtained for the raw total energy is -5.19 eV per atom.



Tm6TlPb2C: relaxed, PBE.

Cell and atoms, written as CIF:
```
data_Tm6TlPb2C
_cell_length_a 5.295
_cell_length_b 5.295
_cell_length_c 10.310
_cell_angle_alpha 90.00
_cell_angle_beta 90.00
_cell_angle_gamma 90.00
_symmetry_space_group_name_H-M 'P 4/m m m'
_symmetry_Int_Tables_number 123
_symmetry_space_group_name_Hall '-P 4 2'
loop_
_atom_site_label
_atom_site_type_symbol
_atom_site_fract_x
_atom_site_fract_y
_atom_site_fract_z
Tm1 Tm 0.000 0.000 0.221
Tm2 Tm 0.000 0.500 0.000
Tm3 Tm 0.000 0.500 0.500
Tl1 Tl 0.000 0.000 0.500
Pb1 Pb 0.500 0.500 0.238
C1 C 0.000 0.000 0.000
```

The value obtained for the raw total energy is -4.65 eV per atom.



TlPbW2C: relaxed, PBE.

Cell and atoms, written as CIF:
```
data_TlPbW2C
_cell_length_a 4.238
_cell_length_b 4.238
_cell_length_c 5.331
_cell_angle_alpha 90.00
_cell_angle_beta 90.00
_cell_angle_gamma 90.00
_symmetry_space_group_name_H-M 'P 4/m m m'
_symmetry_Int_Tables_number 123
_symmetry_space_group_name_Hall '-P 4 2'
loop_
_atom_site_label
_atom_site_type_symbol
_atom_site_fract_x
_atom_site_fract_y
_atom_site_fract_z
Tl1 Tl 0.000 0.000 0.000
Pb1 Pb 0.500 0.500 0.000
W1 W 0.000 0.500 0.500
C1 C 0.500 0.500 0.500
```

The value obtained for the raw total energy is -7.16 eV per atom.



Tm7Pb2C2: relaxed, PBE.

Cell and atoms, written as CIF:
```
data_Tm7Pb2C2
_cell_length_a 3.461
_cell_length_b 14.768
_cell_length_c 10.287
_cell_angle_alpha 90.00
_cell_angle_beta 90.00
_cell_angle_gamma 90.00
_symmetry_space_group_name_H-M 'I m m 2'
_symmetry_Int_Tables_number 44
loop_
_symmetry_equiv_pos_as_xyz
'x,y,z'
'-x,-y,z'
'-x,y,z'
'x,-y,z'
'x+1/2,y+1/2,z+1/2'
'-x+1/2,-y+1/2,z+1/2'
'-x+1/2,y+1/2,z+1/2'
'x+1/2,-y+1/2,z+1/2'
loop_
_atom_site_label
_atom_site_type_symbol
_atom_site_fract_x
_atom_site_fract_y
_atom_site_fract_z
Tm1 Tm 0.000 0.000 0.000
Tm2 Tm 0.000 0.142 0.563
Tm3 Tm 0.000 0.310 0.377
Tm4 Tm 0.000 0.341 0.681
Pb1 Pb 0.000 0.000 0.323
Pb2 Pb 0.000 0.500 0.234
C1 C 0.000 0.237 0.047
```

The value obtained for the raw total energy is -5.40 eV per atom.



Tm5Pb5C: relaxed, PBE.

Cell and atoms, written as CIF:
```
data_Tm5Pb5C
_cell_length_a 12.425
_cell_length_b 5.818
_cell_length_c 9.155
_cell_angle_alpha 90.00
_cell_angle_beta 114.91
_cell_angle_gamma 90.00
_symmetry_space_group_name_H-M 'C 1 2/m 1'
_symmetry_Int_Tables_number 12
loop_
_symmetry_equiv_pos_as_xyz
'x,y,z'
'-x,-y,-z'
'-x,y,-z'
'x,-y,z'
'x+1/2,y+1/2,z'
'-x+1/2,-y+1/2,-z'
'-x+1/2,y+1/2,-z'
'x+1/2,-y+1/2,z'
loop_
_atom_site_label
_atom_site_type_symbol
_atom_site_fract_x
_atom_site_fract_y
_atom_site_fract_z
Tm1 Tm 0.000 0.000 0.000
Tm2 Tm 0.140 0.500 0.269
Tm3 Tm 0.154 0.500 0.910
Pb1 Pb 0.000 0.500 0.500
Pb2 Pb 0.087 0.000 0.721
Pb3 Pb 0.217 0.000 0.345
C1 C 0.000 0.500 0.000
```

The value obtained for the raw total energy is -4.79 eV per atom.



Tm4PbC2: relaxed, PBE.

Cell and atoms, written as CIF:
```
data_Tm4PbC2
_cell_length_a 3.5627
_cell_length_b 3.5627
_cell_length_c 42.0965
_cell_angle_alpha 90.00
_cell_angle_beta 90.00
_cell_angle_gamma 120.00
_symmetry_space_group_name_H-M 'R -3 m'
_symmetry_Int_Tables_number 166
_symmetry_space_group_name_Hall '-R 3 2"'
loop_
_atom_site_label
_atom_site_type_symbol
_atom_site_fract_x
_atom_site_fract_y
_atom_site_fract_z
Tm1 Tm 0.0000 0.0000 0.1252
Tm2 Tm 0.0000 0.0000 0.2704
Pb1 Pb 0.0000 0.0000 0.0000
C1 C 0.0000 0.0000 0.4278
```

The value obtained for the raw total energy is -6.16 eV per atom.



Tm5Pb2C: relaxed, PBE.

Cell and atoms, written as CIF:
```
data_Tm5Pb2C
_cell_length_a 4.829
_cell_length_b 16.733
_cell_length_c 12.085
_cell_angle_alpha 90.00
_cell_angle_beta 90.00
_cell_angle_gamma 90.00
_symmetry_space_group_name_H-M 'C m c m'
_symmetry_Int_Tables_number 63
_symmetry_space_group_name_Hall '-C 2c 2'
loop_
_atom_site_label
_atom_site_type_symbol
_atom_site_fract_x
_atom_site_fract_y
_atom_site_fract_z
Tm1 Tm 0.000 0.116 0.112
Tm2 Tm 0.000 0.269 0.750
Tm3 Tm 0.000 0.311 0.090
Pb1 Pb 0.000 0.070 0.630
C1 C 0.000 0.223 0.250
```

The value obtained for the raw total energy is -4.87 eV per atom.



Tm6Pb3C: relaxed, PBE.

Cell and atoms, written as CIF:
```
data_Tm6Pb3C
_cell_length_a 11.605
_cell_length_b 6.695
_cell_length_c 7.421
_cell_angle_alpha 90.00
_cell_angle_beta 108.23
_cell_angle_gamma 90.00
_symmetry_space_group_name_H-M 'C 1 2/m 1'
_symmetry_Int_Tables_number 12
loop_
_symmetry_equiv_pos_as_xyz
'x,y,z'
'-x,-y,-z'
'-x,y,-z'
'x,-y,z'
'x+1/2,y+1/2,z'
'-x+1/2,-y+1/2,-z'
'-x+1/2,y+1/2,-z'
'x+1/2,-y+1/2,z'
loop_
_atom_site_label
_atom_site_type_symbol
_atom_site_fract_x
_atom_site_fract_y
_atom_site_fract_z
Tm1 Tm 0.099 0.248 0.371
Tm2 Tm 0.173 0.000 0.801
Pb1 Pb 0.000 0.500 0.000
Pb2 Pb 0.186 0.500 0.747
C1 C 0.000 0.000 0.500
```

The value obtained for the raw total energy is -5.02 eV per atom.



Tm10Pb4C3: relaxed, PBE.

Cell and atoms, written as CIF:
```
data_Tm10Pb4C3
_cell_length_a 4.813
_cell_length_b 4.813
_cell_length_c 35.032
_cell_angle_alpha 90.00
_cell_angle_beta 90.00
_cell_angle_gamma 90.00
_symmetry_space_group_name_H-M 'I 4/m m m'
_symmetry_Int_Tables_number 139
_symmetry_space_group_name_Hall '-I 4 2'
loop_
_atom_site_label
_atom_site_type_symbol
_atom_site_fract_x
_atom_site_fract_y
_atom_site_fract_z
Tm1 Tm 0.000 0.000 0.069
Tm2 Tm 0.000 0.000 0.208
Tm3 Tm 0.000 0.500 0.000
Tm4 Tm 0.000 0.500 0.138
Pb1 Pb 0.000 0.000 0.299
Pb2 Pb 0.000 0.000 0.431
C1 C 0.000 0.000 0.000
C2 C 0.000 0.000 0.139
```

The value obtained for the raw total energy is -5.70 eV per atom.



Tm5Pb2C2: relaxed, PBE.

Cell and atoms, written as CIF:
```
data_Tm5Pb2C2
_cell_length_a 4.804
_cell_length_b 4.804
_cell_length_c 9.319
_cell_angle_alpha 90.00
_cell_angle_beta 90.00
_cell_angle_gamma 90.00
_symmetry_space_group_name_H-M 'P 4/m m m'
_symmetry_Int_Tables_number 123
_symmetry_space_group_name_Hall '-P 4 2'
loop_
_atom_site_label
_atom_site_type_symbol
_atom_site_fract_x
_atom_site_fract_y
_atom_site_fract_z
Tm1 Tm 0.000 0.000 0.000
Tm2 Tm 0.000 0.500 0.281
Pb1 Pb 0.500 0.500 0.000
Pb2 Pb 0.500 0.500 0.500
C1 C 0.000 0.000 0.247
```

The value obtained for the raw total energy is -5.72 eV per atom.



Tm6Pb2C: relaxed, PBE.

Cell and atoms, written as CIF:
```
data_Tm6Pb2C
_cell_length_a 6.436
_cell_length_b 7.824
_cell_length_c 11.441
_cell_angle_alpha 90.00
_cell_angle_beta 122.92
_cell_angle_gamma 90.00
_symmetry_space_group_name_H-M 'P 1 21/c 1'
_symmetry_Int_Tables_number 14
loop_
_symmetry_equiv_pos_as_xyz
'x,y,z'
'-x,-y,-z'
'-x,y+1/2,-z+1/2'
'x,-y+1/2,z+1/2'
loop_
_atom_site_label
_atom_site_type_symbol
_atom_site_fract_x
_atom_site_fract_y
_atom_site_fract_z
Tm1 Tm 0.142 0.160 0.460
Tm2 Tm 0.305 0.718 0.460
Tm3 Tm 0.342 0.024 0.252
Pb1 Pb 0.195 0.098 0.762
C1 C 0.500 0.000 0.500
```

The value obtained for the raw total energy is -5.15 eV per atom.



Tm7Pb4C: relaxed, PBE.

Cell and atoms, written as CIF:
```
data_Tm7Pb4C
_cell_length_a 16.039
_cell_length_b 4.977
_cell_length_c 11.261
_cell_angle_alpha 90.00
_cell_angle_beta 128.42
_cell_angle_gamma 90.00
_symmetry_space_group_name_H-M 'C 1 2/m 1'
_symmetry_Int_Tables_number 12
loop_
_symmetry_equiv_pos_as_xyz
'x,y,z'
'-x,-y,-z'
'-x,y,-z'
'x,-y,z'
'x+1/2,y+1/2,z'
'-x+1/2,-y+1/2,-z'
'-x+1/2,y+1/2,-z'
'x+1/2,-y+1/2,z'
loop_
_atom_site_label
_atom_site_type_symbol
_atom_site_fract_x
_atom_site_fract_y
_atom_site_fract_z
Tm1 Tm 0.000 0.000 0.000
Tm2 Tm 0.061 0.500 0.242
Tm3 Tm 0.136 0.000 0.544
Tm4 Tm 0.227 0.500 0.866
Pb1 Pb 0.085 0.000 0.780
Pb2 Pb 0.222 0.000 0.349
C1 C 0.000 0.500 0.000
```

The value obtained for the raw total energy is -4.80 eV per atom.



Tm3Pb3C: relaxed, PBE.

Cell and atoms, written as CIF:
```
data_Tm3Pb3C
_cell_length_a 7.933
_cell_length_b 10.472
_cell_length_c 9.020
_cell_angle_alpha 90.00
_cell_angle_beta 99.92
_cell_angle_gamma 90.00
_symmetry_space_group_name_H-M 'C 1 2/m 1'
_symmetry_Int_Tables_number 12
loop_
_symmetry_equiv_pos_as_xyz
'x,y,z'
'-x,-y,-z'
'-x,y,-z'
'x,-y,z'
'x+1/2,y+1/2,z'
'-x+1/2,-y+1/2,-z'
'-x+1/2,y+1/2,-z'
'x+1/2,-y+1/2,z'
loop_
_atom_site_label
_atom_site_type_symbol
_atom_site_fract_x
_atom_site_fract_y
_atom_site_fract_z
Tm1 Tm 0.138 0.000 0.383
Tm2 Tm 0.242 0.331 0.239
Pb1 Pb 0.000 0.152 0.000
Pb2 Pb 0.000 0.306 0.500
Pb3 Pb 0.128 0.500 0.884
C1 C 0.152 0.000 0.634
```

The value obtained for the raw total energy is -5.07 eV per atom.



Tm7Pb3C2: relaxed, PBE.

Cell and atoms, written as CIF:
```
data_Tm7Pb3C2
_cell_length_a 4.854
_cell_length_b 24.664
_cell_length_c 4.757
_cell_angle_alpha 90.00
_cell_angle_beta 90.00
_cell_angle_gamma 90.00
_symmetry_space_group_name_H-M 'C m m m'
_symmetry_Int_Tables_number 65
_symmetry_space_group_name_Hall '-C 2 2'
loop_
_atom_site_label
_atom_site_type_symbol
_atom_site_fract_x
_atom_site_fract_y
_atom_site_fract_z
Tm1 Tm 0.000 0.000 0.000
Tm2 Tm 0.000 0.097 0.500
Tm3 Tm 0.000 0.197 0.000
Tm4 Tm 0.000 0.401 0.000
Pb1 Pb 0.000 0.310 0.500
Pb2 Pb 0.000 0.500 0.500
C1 C 0.000 0.099 0.000
```

The value obtained for the raw total energy is -5.60 eV per atom.



Tm6PbC: relaxed, PBE.

Cell and atoms, written as CIF:
```
data_Tm6PbC
_cell_length_a 6.576
_cell_length_b 6.589
_cell_length_c 7.055
_cell_angle_alpha 62.30
_cell_angle_beta 62.39
_cell_angle_gamma 60.06
_symmetry_space_group_name_H-M 'P -1'
_symmetry_Int_Tables_number 2
loop_
_symmetry_equiv_pos_as_xyz
'x,y,z'
'-x,-y,-z'
loop_
_atom_site_label
_atom_site_type_symbol
_atom_site_fract_x
_atom_site_fract_y
_atom_site_fract_z
Tm1 Tm 0.021 0.401 0.270
Tm2 Tm 0.192 0.980 0.731
Tm3 Tm 0.401 0.809 0.269
Pb1 Pb 0.500 0.500 0.000
C1 C 0.000 0.000 0.500
```

The value obtained for the raw total energy is -5.03 eV per atom.



Tm4PbC: relaxed, PBE.

Cell and atoms, written as CIF:
```
data_Tm4PbC
_cell_length_a 9.343
_cell_length_b 7.568
_cell_length_c 9.493
_cell_angle_alpha 90.00
_cell_angle_beta 90.00
_cell_angle_gamma 90.00
_symmetry_space_group_name_H-M 'C m c m'
_symmetry_Int_Tables_number 63
_symmetry_space_group_name_Hall '-C 2c 2'
loop_
_atom_site_label
_atom_site_type_symbol
_atom_site_fract_x
_atom_site_fract_y
_atom_site_fract_z
Tm1 Tm 0.000 0.247 0.050
Tm2 Tm 0.198 0.077 0.750
Pb1 Pb 0.000 0.414 0.750
C1 C 0.000 0.090 0.250
```

The value obtained for the raw total energy is -5.24 eV per atom.



Tm2PbC: relaxed, PBE.

Cell and atoms, written as CIF:
```
data_Tm2PbC
_cell_length_a 3.5918
_cell_length_b 3.5918
_cell_length_c 23.7131
_cell_angle_alpha 90.00
_cell_angle_beta 90.00
_cell_angle_gamma 120.00
_symmetry_space_group_name_H-M 'R -3 m'
_symmetry_Int_Tables_number 166
_symmetry_space_group_name_Hall '-R 3 2"'
loop_
_atom_site_label
_atom_site_type_symbol
_atom_site_fract_x
_atom_site_fract_y
_atom_site_fract_z
Tm1 Tm 0.0000 0.0000 0.2216
Pb1 Pb 0.0000 0.0000 0.0000
C1 C 0.0000 0.0000 0.5000
```

The value obtained for the raw total energy is -6.01 eV per atom.



Tm7Pb3C2: relaxed, PBE.

Cell and atoms, written as CIF:
```
data_Tm7Pb3C2
_cell_length_a 4.803
_cell_length_b 4.803
_cell_length_c 25.385
_cell_angle_alpha 90.00
_cell_angle_beta 90.00
_cell_angle_gamma 90.00
_symmetry_space_group_name_H-M 'I 4/m m m'
_symmetry_Int_Tables_number 139
_symmetry_space_group_name_Hall '-I 4 2'
loop_
_atom_site_label
_atom_site_type_symbol
_atom_site_fract_x
_atom_site_fract_y
_atom_site_fract_z
Tm1 Tm 0.000 0.000 0.000
Tm2 Tm 0.000 0.000 0.192
Tm3 Tm 0.000 0.500 0.095
Pb1 Pb 0.000 0.000 0.317
Pb2 Pb 0.000 0.000 0.500
C1 C 0.000 0.000 0.096
```

The value obtained for the raw total energy is -5.64 eV per atom.